1.
PBE CoHSN, relaxed; VASP energy = -21.31 eV/f.u.; V = 40.41 Å³/f.u.; excess energy over the best structure of this formula in the dataset = 39.9 kJ/mol of atoms
1.0
3.2866 -0.0026 0.0282
1.5890 2.9637 0.0116
1.6163 -0.7448 4.1615
H Co S N
1 1 1 1
direct
0.9586 0.1258 0.5802
0.0034 0.6376 0.0861
0.8807 0.7554 0.6040
0.4050 0.9529 0.9877


2.
PBE CoHSN, relaxed; VASP energy = -21.62 eV/f.u.; V = 41.20 Å³/f.u.; excess energy over the best structure of this formula in the dataset = 32.4 kJ/mol of atoms
1.0
6.4073 0.0000 -0.0225
0.0000 2.7778 0.0000
-1.0941 0.0000 4.6341
N Co H S
2 2 2 2
direct
0.2669 0.0000 0.5389
0.2669 0.5000 0.0389
0.4217 0.0000 0.2533
0.4217 0.5000 0.7533
0.5711 0.5000 0.4665
0.5711 0.0000 0.9665
0.9982 0.0000 0.4552
0.9982 0.5000 0.9552


3.
PBE CoHSN, relaxed; VASP energy = -21.89 eV/f.u.; V = 55.94 Å³/f.u.; excess energy over the best structure of this formula in the dataset = 25.9 kJ/mol of atoms
1.0
3.1883 0.0000 0.0437
0.0000 3.5779 0.0000
-0.5470 0.0000 4.8960
N Co S H
1 1 1 1
direct
0.7491 0.5000 0.0258
0.2720 0.5000 0.1561
0.2778 0.0000 0.4134
0.6841 0.0000 0.5369


4.
PBE CoHSN, relaxed; VASP energy = -21.70 eV/f.u.; V = 49.71 Å³/f.u.; excess energy over the best structure of this formula in the dataset = 30.5 kJ/mol of atoms
1.0
-2.6607 1.6662 -0.5407
-1.7590 -3.3089 -1.5404
0.4141 -1.0326 4.1128
H N Co S
1 1 1 1
direct
0.4023 0.9612 0.7436
0.0944 0.3942 0.1305
0.5913 0.1091 0.1241
0.1255 0.7935 0.1927


5.
PBE CoHS2N, relaxed; VASP energy = -21.25 eV/f.u.; V = 51.79 Å³/f.u.; excess energy over the best structure of this formula in the dataset = 5.3 kJ/mol of atoms
1.0
-2.6150 -0.5404 3.6621
0.6482 -4.4813 -0.1984
2.0275 0.2277 1.4814
S Co H N
2 1 1 1
direct
0.5000 0.0000 0.0000
0.0000 0.5000 0.0000
0.5000 0.5000 0.5000
0.0000 0.0000 0.0000
0.0000 0.0000 0.5000


6.
PBE CoHSN, relaxed; VASP energy = -21.63 eV/f.u.; V = 47.39 Å³/f.u.; excess energy over the best structure of this formula in the dataset = 32.3 kJ/mol of atoms
1.0
2.7320 0.0026 0.0000
1.3649 2.9597 0.0049
1.0157 0.7178 5.8643
N H S Co
1 1 1 1
direct
0.2535 0.5211 0.3139
0.3324 0.7462 0.8046
0.1008 0.1337 0.9072
0.5939 0.9014 0.2323


7.
PBE CoHSN, relaxed; VASP energy = -21.17 eV/f.u.; V = 47.36 Å³/f.u.; excess energy over the best structure of this formula in the dataset = 43.4 kJ/mol of atoms
1.0
5.1513 0.0000 -0.0015
0.0000 3.0905 0.0000
-2.0603 0.0000 5.9503
S Co N H
2 2 2 2
direct
0.0039 0.0000 0.4261
0.0039 0.5000 0.9261
0.3196 0.5000 0.4486
0.3196 0.0000 0.9486
0.3053 0.0000 0.6361
0.3053 0.5000 0.1361
0.6291 0.0000 0.0337
0.6291 0.5000 0.5337


8.
PBE CoHSN, relaxed; VASP energy = -22.04 eV/f.u.; V = 43.81 Å³/f.u.; excess energy over the best structure of this formula in the dataset = 22.3 kJ/mol of atoms
1.0
-2.3698 1.4746 1.6036
0.4732 -2.0564 2.5904
2.6959 2.6126 1.5815
N H S Co
1 1 1 1
direct
0.0000 0.0000 0.6175
0.5000 0.5000 0.3338
0.0000 0.0000 0.9998
0.5000 0.0000 0.3295


9.
PBE CoHSN, relaxed; VASP energy = -22.57 eV/f.u.; V = 42.66 Å³/f.u.; excess energy over the best structure of this formula in the dataset = 9.5 kJ/mol of atoms
1.0
3.3786 -0.0318 0.0103
-1.5079 3.4815 -0.0123
-0.3415 -1.1373 3.6427
S H N Co
1 1 1 1
direct
0.0644 0.6992 0.0728
0.6710 0.1294 0.4813
0.3675 0.1358 0.4423
0.3686 0.2936 0.9809


10.
PBE CoHSeN2, relaxed; VASP energy = -24.09 eV/f.u.; V = 62.63 Å³/f.u.; excess energy over the best structure of this formula in the dataset = 0.0 kJ/mol of atoms
1.0
3.4707 0.0000 0.0000
0.0000 3.4707 0.0000
0.0000 0.0000 5.1997
N Se H Co
2 1 1 1
direct
0.5000 0.0000 0.0000
0.0000 0.5000 0.0000
0.0000 0.0000 0.5000
0.5000 0.5000 0.5000
0.0000 0.0000 0.0000


11.
PBE CoHSeN2, relaxed; VASP energy = -20.75 eV/f.u.; V = 45.63 Å³/f.u.; excess energy over the best structure of this formula in the dataset = 64.3 kJ/mol of atoms
1.0
-2.6021 -2.1786 -1.5142
-0.4268 -1.7495 3.2507
-2.3284 2.1787 0.8668
H N Co Se
1 2 1 1
direct
0.0000 0.0000 0.0000
0.5000 0.0000 0.0000
0.0000 0.5000 0.0000
0.5000 0.5000 0.5000
0.0000 0.0000 0.5000


12.
PBE SrCoH2N, relaxed; VASP energy = -25.51 eV/f.u.; V = 50.84 Å³/f.u.
1.0
-3.3616 1.3741 -0.8873
-1.5212 -3.3717 0.5414
-0.5851 0.8251 3.4944
N H Sr Co
1 2 1 1
direct
0.0000 0.0000 0.5000
0.0000 0.5000 0.0000
0.5000 0.0000 0.0000
0.5000 0.5000 0.5000
0.0000 0.0000 0.0000


Question: Which formula does entry 4 have?
Answer: CoHSN


Repeat the second record exactly.
PBE CoHSN, relaxed; VASP energy = -21.62 eV/f.u.; V = 41.20 Å³/f.u.; excess energy over the best structure of this formula in the dataset = 32.4 kJ/mol of atoms
1.0
6.4073 0.0000 -0.0225
0.0000 2.7778 0.0000
-1.0941 0.0000 4.6341
N Co H S
2 2 2 2
direct
0.2669 0.0000 0.5389
0.2669 0.5000 0.0389
0.4217 0.0000 0.2533
0.4217 0.5000 0.7533
0.5711 0.5000 0.4665
0.5711 0.0000 0.9665
0.9982 0.0000 0.4552
0.9982 0.5000 0.9552


Question: What is the V in the eleventh record?
Answer: 45.63 Å³/f.u.